Here is a relaxed structure of SmMgBeZn from Alexandria via LeMat-Bulk. Energies are from GGA-PBE.

Calculated total energy (eV per atom): -2.925
Spin magnetization (μB/atom): 0.00
DOS at the Fermi energy (states/eV/f.u.): 1.46
ΔH_f (0 K) (eV per atom): -0.10

Geometry as CIF:
```
data_SmMgBeZn
_chemical_formula_sum 'Sm4 Mg4 Be4 Zn4'
_space_group_name_H-M_alt 'F -4 3 m'
_space_group_IT_number 216
_space_group_name_Hall 'F -4 2 3'
_cell_length_a 6.746
_cell_length_b 6.746
_cell_length_c 6.746
_cell_angle_alpha 90.00
_cell_angle_beta 90.00
_cell_angle_gamma 90.00
loop_
_atom_site_label
_atom_site_fract_x
_atom_site_fract_y
_atom_site_fract_z
_atom_site_occupancy
Sm1 0.000 0.000 0.000 1
Mg1 0.000 0.000 0.500 1
Be1 0.250 0.250 0.250 1
Zn1 0.250 0.250 0.750 1
```